Record 1
# NiAgRh2C (PBE, relaxed)
data_NiAgRh2C
_cell_length_a 4.081
_cell_length_b 4.081
_cell_length_c 3.898
_cell_angle_alpha 90.00
_cell_angle_beta 90.00
_cell_angle_gamma 90.00
_space_group_name_H-M_alt 'P 4/m m m'
_space_group_IT_number 123
_space_group_name_Hall '-P 4 2'
loop_
_atom_site_label
_atom_site_type_symbol
_atom_site_fract_x
_atom_site_fract_y
_atom_site_fract_z
Ni1 Ni 0.000 0.000 0.000
Ag1 Ag 0.500 0.500 0.000
Rh1 Rh 0.000 0.500 0.500
C1 C 0.000 0.000 0.500
# Energy above the lowest structure with this stoichiometry in meV per atom: 0
# ΔE_f in eV/f.u.: 0.95

Record 2
# Sm2NiAgC (PBE, relaxed)
data_Sm2NiAgC
_cell_length_a 5.182
_cell_length_b 5.182
_cell_length_c 3.678
_cell_angle_alpha 90.00
_cell_angle_beta 90.00
_cell_angle_gamma 90.00
_space_group_name_H-M_alt 'P 4/m m m'
_space_group_IT_number 123
_space_group_name_Hall '-P 4 2'
loop_
_atom_site_label
_atom_site_type_symbol
_atom_site_fract_x
_atom_site_fract_y
_atom_site_fract_z
Sm1 Sm 0.000 0.500 0.000
Ni1 Ni 0.000 0.000 0.500
Ag1 Ag 0.500 0.500 0.500
C1 C 0.000 0.000 0.000
# ΔE_f in eV/f.u.: -1.44

Record 3
# TaNi2AgC (PBE, relaxed)
data_TaNi2AgC
_cell_length_a 4.453
_cell_length_b 4.453
_cell_length_c 4.950
_cell_angle_alpha 90.00
_cell_angle_beta 90.00
_cell_angle_gamma 90.00
_space_group_name_H-M_alt 'P 4/m m m'
_space_group_IT_number 123
_space_group_name_Hall '-P 4 2'
loop_
_atom_site_label
_atom_site_type_symbol
_atom_site_fract_x
_atom_site_fract_y
_atom_site_fract_z
Ta1 Ta 0.000 0.000 0.000
Ni1 Ni 0.000 0.500 0.500
Ag1 Ag 0.000 0.000 0.500
C1 C 0.500 0.500 0.000
# ΔE_f in eV/f.u.: 13.95

Record 4
# Tb2NiAgC (PBE, relaxed)
data_Tb2NiAgC
_cell_length_a 5.049
_cell_length_b 5.049
_cell_length_c 3.686
_cell_angle_alpha 90.00
_cell_angle_beta 90.00
_cell_angle_gamma 90.00
_space_group_name_H-M_alt 'P 4/m m m'
_space_group_IT_number 123
_space_group_name_Hall '-P 4 2'
loop_
_atom_site_label
_atom_site_type_symbol
_atom_site_fract_x
_atom_site_fract_y
_atom_site_fract_z
Tb1 Tb 0.000 0.500 0.000
Ni1 Ni 0.000 0.000 0.500
Ag1 Ag 0.500 0.500 0.500
C1 C 0.000 0.000 0.000
# ΔE_f in eV/f.u.: -1.70

Record 5
# TcNiAgC2 (PBE, relaxed)
data_TcNiAgC2
_cell_length_a 3.943
_cell_length_b 3.943
_cell_length_c 4.777
_cell_angle_alpha 90.00
_cell_angle_beta 90.00
_cell_angle_gamma 90.00
_space_group_name_H-M_alt 'P 4/m m m'
_space_group_IT_number 123
_space_group_name_Hall '-P 4 2'
loop_
_atom_site_label
_atom_site_type_symbol
_atom_site_fract_x
_atom_site_fract_y
_atom_site_fract_z
Tc1 Tc 0.000 0.000 0.000
Ni1 Ni 0.000 0.000 0.500
Ag1 Ag 0.500 0.500 0.500
C1 C 0.000 0.500 0.000
# ΔE_f in eV/f.u.: 7.81

Record 6
# ZrNiAgC2 (PBE, relaxed)
data_ZrNiAgC2
_cell_length_a 4.297
_cell_length_b 4.297
_cell_length_c 4.816
_cell_angle_alpha 90.00
_cell_angle_beta 90.00
_cell_angle_gamma 90.00
_space_group_name_H-M_alt 'P 4/m m m'
_space_group_IT_number 123
_space_group_name_Hall '-P 4 2'
loop_
_atom_site_label
_atom_site_type_symbol
_atom_site_fract_x
_atom_site_fract_y
_atom_site_fract_z
Zr1 Zr 0.000 0.000 0.000
Ni1 Ni 0.000 0.000 0.500
Ag1 Ag 0.500 0.500 0.500
C1 C 0.000 0.500 0.000
# ΔE_f in eV/f.u.: 9.48

Record 7
# NpAgC (PBE, relaxed)
data_NpAgC
_cell_length_a 3.419
_cell_length_b 3.419
_cell_length_c 8.373
_cell_angle_alpha 90.00
_cell_angle_beta 90.00
_cell_angle_gamma 90.00
_space_group_name_H-M_alt 'P 4/n m m'
_space_group_IT_number 129
loop_
_space_group_symop_operation_xyz
'x,y,z'
'-x,-y,-z'
'-y+1/2,x,z'
'y+1/2,-x,-z'
'-x+1/2,-y+1/2,z'
'x+1/2,y+1/2,-z'
'y,-x+1/2,z'
'-y,x+1/2,-z'
'x+1/2,-y,-z'
'-x+1/2,y,z'
'-y,-x,-z'
'y,x,z'
'-x,y+1/2,-z'
'x,-y+1/2,z'
'y+1/2,x+1/2,-z'
'-y+1/2,-x+1/2,z'
loop_
_atom_site_label
_atom_site_type_symbol
_atom_site_fract_x
_atom_site_fract_y
_atom_site_fract_z
Np1 Np 0.250 0.250 0.158
Ag1 Ag 0.250 0.250 0.587
C1 C 0.250 0.250 0.881
# ΔE_f in eV/f.u.: 0.58

Record 8
# AgCO4 (PBE, relaxed)
data_AgCO4
_cell_length_a 5.053
_cell_length_b 7.761
_cell_length_c 6.963
_cell_angle_alpha 90.00
_cell_angle_beta 90.00
_cell_angle_gamma 90.00
_space_group_name_H-M_alt 'C m c m'
_space_group_IT_number 63
_space_group_name_Hall '-C 2c 2'
loop_
_atom_site_label
_atom_site_type_symbol
_atom_site_fract_x
_atom_site_fract_y
_atom_site_fract_z
Ag1 Ag 0.000 0.000 0.000
C1 C 0.000 0.351 0.250
O1 O 0.000 0.266 0.078
O2 O 0.227 0.457 0.250
# Formation energy without anion corrections in eV per atom: -0.2777

Record 9
# Ag2CO (PBE, relaxed)
data_Ag2CO
_cell_length_a 5.784
_cell_length_b 5.784
_cell_length_c 5.784
_cell_angle_alpha 90.00
_cell_angle_beta 90.00
_cell_angle_gamma 90.00
_space_group_name_H-M_alt 'F m -3 m'
_space_group_IT_number 225
_space_group_name_Hall '-F 4 2 3'
loop_
_atom_site_label
_atom_site_type_symbol
_atom_site_fract_x
_atom_site_fract_y
_atom_site_fract_z
Ag1 Ag 0.250 0.250 0.250
C1 C 0.000 0.000 0.000
O1 O 0.000 0.000 0.500
# Formation energy without anion corrections in eV per atom: 1.2634
# Energy above the lowest structure with this stoichiometry in meV per atom: 190

Record 10
# Ag3C2O6 (PBE, relaxed)
data_Ag3C2O6
_cell_length_a 7.018
_cell_length_b 5.733
_cell_length_c 8.665
_cell_angle_alpha 90.00
_cell_angle_beta 90.30
_cell_angle_gamma 90.00
_space_group_name_H-M_alt 'C 1 2/m 1'
_space_group_IT_number 12
loop_
_space_group_symop_operation_xyz
'x,y,z'
'-x,-y,-z'
'-x,y,-z'
'x,-y,z'
'x+1/2,y+1/2,z'
'-x+1/2,-y+1/2,-z'
'-x+1/2,y+1/2,-z'
'x+1/2,-y+1/2,z'
loop_
_atom_site_label
_atom_site_type_symbol
_atom_site_fract_x
_atom_site_fract_y
_atom_site_fract_z
Ag1 Ag 0.000 0.000 0.000
Ag2 Ag 0.205 0.500 0.354
C1 C 0.216 0.000 0.259
O1 O 0.164 0.193 0.190
O2 O 0.187 0.500 0.616
# Formation energy without anion corrections in eV per atom: -0.7618

Record 11
# Ag3CO6 (PBE, relaxed)
data_Ag3CO6
_cell_length_a 6.998
_cell_length_b 7.277
_cell_length_c 10.666
_cell_angle_alpha 90.00
_cell_angle_beta 90.00
_cell_angle_gamma 90.00
_space_group_name_H-M_alt 'F m m m'
_space_group_IT_number 69
_space_group_name_Hall '-F 2 2'
loop_
_atom_site_label
_atom_site_type_symbol
_atom_site_fract_x
_atom_site_fract_y
_atom_site_fract_z
Ag1 Ag 0.000 0.000 0.000
Ag2 Ag 0.250 0.250 0.250
C1 C 0.000 0.000 0.500
O1 O 0.000 0.212 0.137
O2 O 0.167 0.000 0.500
# Formation energy without anion corrections in eV per atom: -0.1768

Record 12
# Ag4CO5 (PBE, relaxed)
data_Ag4CO5
_cell_length_a 7.063
_cell_length_b 7.063
_cell_length_c 4.965
_cell_angle_alpha 90.00
_cell_angle_beta 90.00
_cell_angle_gamma 90.00
_space_group_name_H-M_alt 'I 4'
_space_group_IT_number 79
loop_
_space_group_symop_operation_xyz
'x,y,z'
'-y,x,z'
'-x,-y,z'
'y,-x,z'
'x+1/2,y+1/2,z+1/2'
'-y+1/2,x+1/2,z+1/2'
'-x+1/2,-y+1/2,z+1/2'
'y+1/2,-x+1/2,z+1/2'
loop_
_atom_site_label
_atom_site_type_symbol
_atom_site_fract_x
_atom_site_fract_y
_atom_site_fract_z
Ag1 Ag 0.109 0.690 0.000
C1 C 0.000 0.000 0.586
O1 O 0.000 0.000 0.865
O2 O 0.065 0.791 0.500
# Formation energy without anion corrections in eV per atom: 0.0274

Record 13
# Ag3CO (PBE, relaxed)
data_Ag3CO
_cell_length_a 4.232
_cell_length_b 4.232
_cell_length_c 4.232
_cell_angle_alpha 90.00
_cell_angle_beta 90.00
_cell_angle_gamma 90.00
_space_group_name_H-M_alt 'P m -3 m'
_space_group_IT_number 221
_space_group_name_Hall '-P 4 2 3'
loop_
_atom_site_label
_atom_site_type_symbol
_atom_site_fract_x
_atom_site_fract_y
_atom_site_fract_z
Ag1 Ag 0.000 0.000 0.500
C1 C 0.000 0.000 0.000
O1 O 0.500 0.500 0.500
# Formation energy without anion corrections in eV per atom: 1.0312
# Energy above the lowest structure with this stoichiometry in meV per atom: 0

Record 14
# Ag4C2O (PBE, relaxed)
data_Ag4C2O
_cell_length_a 4.960
_cell_length_b 4.960
_cell_length_c 9.539
_cell_angle_alpha 90.00
_cell_angle_beta 90.00
_cell_angle_gamma 90.00
_space_group_name_H-M_alt 'I 4/m m m'
_space_group_IT_number 139
_space_group_name_Hall '-I 4 2'
loop_
_atom_site_label
_atom_site_type_symbol
_atom_site_fract_x
_atom_site_fract_y
_atom_site_fract_z
Ag1 Ag 0.000 0.000 0.220
Ag2 Ag 0.000 0.500 0.000
C1 C 0.000 0.000 0.433
O1 O 0.000 0.000 0.000
# Formation energy without anion corrections in eV per atom: 0.5601

Record 15
# AgC2O (PBE, relaxed)
data_AgC2O
_cell_length_a 4.781
_cell_length_b 4.781
_cell_length_c 8.020
_cell_angle_alpha 90.00
_cell_angle_beta 90.00
_cell_angle_gamma 90.00
_space_group_name_H-M_alt 'I -4 2 d'
_space_group_IT_number 122
_space_group_name_Hall 'I -4 2bw'
loop_
_atom_site_label
_atom_site_type_symbol
_atom_site_fract_x
_atom_site_fract_y
_atom_site_fract_z
Ag1 Ag 0.000 0.000 0.000
C1 C 0.184 0.250 0.625
O1 O 0.000 0.000 0.500
# Formation energy without anion corrections in eV per atom: 2.1323

Record 16
# Ag2CO4 (PBE, relaxed)
data_Ag2CO4
_cell_length_a 6.139
_cell_length_b 6.217
_cell_length_c 5.358
_cell_angle_alpha 90.00
_cell_angle_beta 103.51
_cell_angle_gamma 90.00
_space_group_name_H-M_alt 'C 1 m 1'
_space_group_IT_number 8
loop_
_space_group_symop_operation_xyz
'x,y,z'
'x,-y,z'
'x+1/2,y+1/2,z'
'x+1/2,-y+1/2,z'
loop_
_atom_site_label
_atom_site_type_symbol
_atom_site_fract_x
_atom_site_fract_y
_atom_site_fract_z
Ag1 Ag 0.000 0.248 0.000
C1 C 0.217 0.500 0.495
O1 O 0.190 0.316 0.387
O2 O 0.252 0.000 0.980
O3 O 0.279 0.500 0.752
# Formation energy without anion corrections in eV per atom: -0.5086

Record 17
# Ag2CO (PBE, relaxed)
data_Ag2CO
_cell_length_a 5.605
_cell_length_b 5.605
_cell_length_c 7.133
_cell_angle_alpha 90.00
_cell_angle_beta 90.00
_cell_angle_gamma 90.00
_space_group_name_H-M_alt 'I -4 2 d'
_space_group_IT_number 122
_space_group_name_Hall 'I -4 2bw'
loop_
_atom_site_label
_atom_site_type_symbol
_atom_site_fract_x
_atom_site_fract_y
_atom_site_fract_z
Ag1 Ag 0.229 0.250 0.125
C1 C 0.000 0.000 0.000
O1 O 0.000 0.000 0.500
# Formation energy without anion corrections in eV per atom: 1.0733
# Energy above the lowest structure with this stoichiometry in meV per atom: 0

Record 18
# AgPb2C2O6 (PBE, relaxed)
data_AgPb2C2O6
_cell_length_a 9.796
_cell_length_b 5.264
_cell_length_c 7.179
_cell_angle_alpha 90.00
_cell_angle_beta 114.80
_cell_angle_gamma 90.00
_space_group_name_H-M_alt 'C 1 2/m 1'
_space_group_IT_number 12
loop_
_space_group_symop_operation_xyz
'x,y,z'
'-x,-y,-z'
'-x,y,-z'
'x,-y,z'
'x+1/2,y+1/2,z'
'-x+1/2,-y+1/2,-z'
'-x+1/2,y+1/2,-z'
'x+1/2,-y+1/2,z'
loop_
_atom_site_label
_atom_site_type_symbol
_atom_site_fract_x
_atom_site_fract_y
_atom_site_fract_z
Ag1 Ag 0.000 0.000 0.000
Pb1 Pb 0.168 0.000 0.703
C1 C 0.024 0.500 0.281
O1 O 0.097 0.287 0.290
O2 O 0.112 0.500 0.738
# Formation energy without anion corrections in eV per atom: -1.0309

Record 19
# AgPbC2O6 (PBE, relaxed)
data_AgPbC2O6
_cell_length_a 8.736
_cell_length_b 9.625
_cell_length_c 6.840
_cell_angle_alpha 90.00
_cell_angle_beta 102.22
_cell_angle_gamma 90.00
_space_group_name_H-M_alt 'C 1 2/c 1'
_space_group_IT_number 15
loop_
_space_group_symop_operation_xyz
'x,y,z'
'-x,-y,-z'
'-x,y,-z+1/2'
'x,-y,z+1/2'
'x+1/2,y+1/2,z'
'-x+1/2,-y+1/2,-z'
'-x+1/2,y+1/2,-z+1/2'
'x+1/2,-y+1/2,z+1/2'
loop_
_atom_site_label
_atom_site_type_symbol
_atom_site_fract_x
_atom_site_fract_y
_atom_site_fract_z
Ag1 Ag 0.000 0.085 0.250
Pb1 Pb 0.000 0.367 0.750
C1 C 0.227 0.351 0.229
O1 O 0.120 0.426 0.120
O2 O 0.139 0.099 0.680
O3 O 0.209 0.218 0.250
# Formation energy without anion corrections in eV per atom: -1.0926

Record 20
# Ag2PbC2O6 (PBE, relaxed)
data_Ag2PbC2O6
_cell_length_a 5.2795
_cell_length_b 5.2795
_cell_length_c 19.8797
_cell_angle_alpha 90.00
_cell_angle_beta 90.00
_cell_angle_gamma 120.00
_space_group_name_H-M_alt 'R -3 m'
_space_group_IT_number 166
_space_group_name_Hall '-R 3 2"'
loop_
_atom_site_label
_atom_site_type_symbol
_atom_site_fract_x
_atom_site_fract_y
_atom_site_fract_z
Ag1 Ag 0.0000 0.0000 0.2006
Pb1 Pb 0.0000 0.0000 0.0000
C1 C 0.0000 0.0000 0.4244
O1 O 0.0488 0.5244 0.2417
# Formation energy without anion corrections in eV per atom: -0.9301

Record-wise total magnetization values, in μB per atom: 0.00; 0.00; 0.24; 0.00; 0.04; 0.00; 0.93; 0.23; 0.00; 0.00; 0.00; 0.00; 0.00; 0.00; 0.00; 0.00; 0.00; 0.00; 0.00; 0.00
Record-wise total DFT energy (no corrections) values, in eV per cell: -31.61; -28.73; -21.54; -28.82; -29.63; -26.15; -48.87; -134.30; -59.32; -130.26; -197.18; -90.29; -17.58; -61.78; -70.91; -76.64; -62.37; -139.61; -262.73; -203.52